This record from Alexandria via LeMat-Bulk describes a relaxed structure of RbCaCuAs2. The functional is PBE.

a = 5.661 Å, b = 5.661 Å, c = 5.579 Å
α = 90.00°, β = 90.00°, γ = 90.00°
Atoms (fractional coordinates):
Rb 0.000 0.000 0.000
Ca 0.000 0.000 0.500
Cu 0.500 0.500 0.500
As 0.000 0.500 0.000
As 0.500 0.000 0.000

## Properties
* space group: P4/mmm (123)
* uncorrected energy: -9.3 eV/cell
* M_tot: 0.0 Bohr magnetons per cell
* ΔE_f: 1.407 eV/atom